No. 1
# TlBr2Cl

Crystalline TlBr2Cl at its relaxed geometry (GGA-PBE, the Alexandria database).

Geometry as POSCAR:
```
TlBr2Cl
1.0
7.5735 -0.0261 0.0000
5.1931 5.5127 0.0000
-6.3833 -2.7433 3.0143
Tl Br Cl
1 2 1
Cartesian
3.7867 -0.0131 1.5072
2.5966 2.7563 1.5072
0.0000 0.0000 0.0000
6.3833 2.7433 0.0000
```

Output
uncorrected formation energy	-0.190	eV per atom
volume	31.6	A^3/atom
E	-2.080	eV per atom
offset from the most stable computed form	30.27	kJ per mole of atoms


No. 2
# Cd2InHg

Crystalline Cd2InHg at its relaxed geometry (GGA-PBE, the Alexandria database).

Geometry as POSCAR:
```
Cd2InHg
1.0
5.7413 0.0490 0.0000
2.1197 5.3359 0.0000
-3.9305 -2.6925 3.2042
Hg In Cd
1 1 2
Cartesian
3.9305 2.6925 0.0000
2.8707 0.0245 1.6021
0.0000 0.0000 0.0000
1.0599 2.6679 1.6021
```

Output
volume	24.5	A^3/atom
E	-1.193	eV per atom
energy of formation from the pure elements	0.024	eV per atom
offset from the most stable computed form	0.53	kJ per mole of atoms